No. 1
The following is a DFT calculation (PBE) of a relaxed structure of In2GeS4.

The calculation puts the total magnetization at 0.000 μB/atom. The formation energy (no corrections) comes out at -0.4214 eV per atom. The electronic total energy comes out at -59.11 eV/cell.

The space group is C2/m (No. 12) and the conventional cell measures 13.777, 3.891 and 6.555 Å, with angles of 90.00, 114.25 and 90.00 degrees. The inequivalent atoms are In at (0.225, 0.000, 0.212), Ge at (0.000, 0.500, 0.500), S at (0.126, 0.500, 0.946) and S at (0.139, 0.000, 0.494).

No. 2
The following is a DFT calculation (PBE) of a relaxed structure of In3GeS.

The calculation puts the total magnetization at 0.000 μB/atom. The formation energy (no corrections) comes out at 0.3381 eV per atom. The electronic total energy comes out at -15.27 eV/cell.

The space group is Pm-3m (No. 221) and the conventional cell measures 5.344, 5.344 and 5.344 Å, with angles of 90.00, 90.00 and 90.00 degrees. The inequivalent atoms are In at (0.000, 0.000, 0.500), Ge at (0.000, 0.000, 0.000) and S at (0.500, 0.500, 0.500).

No. 3
The following is a DFT calculation (PBE) of a relaxed structure of InGe2S2.

The calculation puts the total magnetization at 0.000 μB/atom. The formation energy (no corrections) comes out at -0.1628 eV per atom. The electronic total energy comes out at -42.08 eV/cell.

The space group is C2/m (No. 12) and the conventional cell measures 8.507, 3.451 and 9.070 Å, with angles of 90.00, 111.37 and 90.00 degrees. The inequivalent atoms are In at (0.000, 0.000, 0.000), Ge at (0.162, 0.500, 0.574) and S at (0.188, 0.000, 0.762).

No. 4
The following is a DFT calculation (PBE) of a relaxed structure of In3GeS.

The calculation puts the total magnetization at 0.000 μB/atom. The formation energy (no corrections) comes out at 0.4155 eV per atom. The electronic total energy comes out at -14.88 eV/cell.

The space group is Pm-3m (No. 221) and the conventional cell measures 5.265, 5.265 and 5.265 Å, with angles of 90.00, 90.00 and 90.00 degrees. The inequivalent atoms are In at (0.000, 0.000, 0.500), Ge at (0.500, 0.500, 0.500) and S at (0.000, 0.000, 0.000).